Material: Sc2WO
Method: DFT, PBE+U
State: optimized geometry

Properties
Uncorrected energy, eV/f.u.: -28.49
ρ, g cm⁻³: 7.5
DOS at the Fermi energy, states/eV/f.u.: 0.7
Symmetry: R-3m (166)

a b c (Å): 8.3165 8.3165 8.3165
angles (deg): 20.90 20.90 20.90
Last column: nearest neighbours and their distance in Å.
Fractional coordinates of all 4 atoms:
Sc: 0.1119 0.1119 0.1119  3 O 2.20
Sc: 0.8881 0.8881 0.8881  3 O 2.20
W: 0.0000 0.0000 0.0000  2 Sc 2.73, 6 W 3.02
O: 0.5000 0.5000 0.5000  6 Sc 2.20